# PBE-GGA Rb3GaBr4, relaxed
data_Rb3GaBr4
_chemical_formula_sum 'Rb6 Ga2 Br8'
_cell_length_a 6.866
_cell_length_b 6.866
_cell_length_c 13.682
_cell_angle_alpha 90.00
_cell_angle_beta 90.00
_cell_angle_gamma 90.00
_space_group_name_H-M_alt 'I 4/m m m'
_space_group_IT_number 139
_space_group_name_Hall '-I 4 2'
loop_
_atom_site_label
_atom_site_type_symbol
_atom_site_fract_x
_atom_site_fract_y
_atom_site_fract_z
Rb1 Rb 0.000 0.000 0.000
Rb2 Rb 0.000 0.500 0.250
Ga1 Ga 0.000 0.000 0.500
Br1 Br 0.000 0.000 0.268
Br2 Br 0.000 0.500 0.000
# Polymorph energy (0 for the lowest one) ... 0 meV per atom
# DOS(E_F) ... 0.00 states/eV per cell
# Energy relative to the elements, uncorrected ... -11.4 eV/f.u.
# VASP energy ... -3.007 eV per atom